(1)
! meta-GGA SCAN In2RuRh, PBEsol geometry; values from VASP
&SYSTEM
  ibrav = 0, nat = 4, ntyp = 3
/
ATOMIC_SPECIES
Ru 101.07 Ru.upf
Rh 102.91 Rh.upf
In 114.82 In.upf
CELL_PARAMETERS angstrom
3.2098 0.0000 0.0000
0.0000 4.4789 0.0000
0.0000 0.0000 4.4789
ATOMIC_POSITIONS angstrom
Ru 1.6049 0.0000 0.0000
Rh 1.6049 2.2394 2.2394
In 0.0000 0.0000 2.2394
In 0.0000 2.2394 0.0000
! Formation energy from the elements = -0.224 eV/atom
! Total magnetic moment = 0.0 Bohr magnetons per cell
! DFT total energy = -136.27 eV/cell


(2)
! meta-GGA SCAN Pt8Au, PBEsol geometry; values from VASP
&SYSTEM
  ibrav = 0, nat = 9, ntyp = 2
/
ATOMIC_SPECIES
Au 196.97 Au.upf
Pt 195.08 Pt.upf
CELL_PARAMETERS angstrom
3.9375 0.0000 0.0000
1.9687 5.8923 0.0000
1.9687 0.0000 5.8923
ATOMIC_POSITIONS angstrom
Au 0.0000 0.0000 0.0000
Pt 1.9687 1.9693 3.9229
Pt 1.9687 3.9229 1.9693
Pt 3.9375 1.9693 1.9693
Pt 3.9375 3.9118 0.0000
Pt 3.9375 0.0000 3.9118
Pt 3.9375 3.9229 3.9229
Pt 1.9687 0.0000 1.9804
Pt 1.9687 1.9804 0.0000
! Formation energy from the elements = 0.079 eV/atom
! Total magnetic moment = 0.0 Bohr magnetons per cell
! DFT total energy = -629.99 eV/cell


(3)
! meta-GGA SCAN Li3TeC, PBEsol geometry; values from VASP
&SYSTEM
  ibrav = 0, nat = 5, ntyp = 3
/
ATOMIC_SPECIES
C 12.01 C.upf
Te 127.60 Te.upf
Li 6.94 Li.upf
CELL_PARAMETERS angstrom
-4.0777 0.5101 -0.7090
-0.8491 -3.1092 2.6462
-0.2049 2.7319 3.1441
ATOMIC_POSITIONS angstrom
C 0.0000 0.0000 0.0000
Te -2.5658 0.0664 2.5407
Li -0.4245 -1.5546 1.3231
Li -0.1025 1.3659 1.5721
Li -2.0389 0.2551 -0.3545
! Total magnetic moment = 3.0 Bohr magnetons per cell
! DFT total energy = -53.72 eV/cell
! Formation energy from raw total energies = 160 meV per atom


(4)
! meta-GGA SCAN KAgH3, PBEsol geometry; values from VASP
&SYSTEM
  ibrav = 0, nat = 5, ntyp = 3
/
ATOMIC_SPECIES
H 1.01 H.upf
K 39.10 K.upf
Ag 107.87 Ag.upf
CELL_PARAMETERS angstrom
3.8431 0.0000 0.0000
0.0000 3.8431 0.0000
0.0000 0.0000 3.8431
ATOMIC_POSITIONS angstrom
H 0.0000 1.9215 0.0000
H 0.0000 0.0000 1.9215
H 1.9215 0.0000 0.0000
K 1.9215 1.9215 1.9215
Ag 0.0000 0.0000 0.0000
! Total magnetic moment = 0.0 Bohr magnetons per cell
! DFT total energy = -50.17 eV/cell


(5)
! meta-GGA SCAN Ta3W, PBEsol geometry; values from VASP
&SYSTEM
  ibrav = 0, nat = 4, ntyp = 2
/
ATOMIC_SPECIES
W 183.84 W.upf
Ta 180.95 Ta.upf
CELL_PARAMETERS angstrom
2.8153 -0.0063 0.0000
-0.9714 2.6424 0.0000
0.0000 0.0000 9.1639
ATOMIC_POSITIONS angstrom
W 0.9219 1.3181 4.5820
Ta 0.0000 0.0000 2.3552
Ta 0.0000 0.0000 6.8088
Ta 0.9219 1.3181 0.0000
! Formation energy from the elements = -0.029 eV/atom
! Total magnetic moment = 0.0 Bohr magnetons per cell
! DFT total energy = -269.56 eV/cell


(6)
! meta-GGA SCAN SiHSeN2, PBEsol geometry; values from VASP
&SYSTEM
  ibrav = 0, nat = 5, ntyp = 4
/
ATOMIC_SPECIES
H 1.01 H.upf
Si 28.09 Si.upf
Se 78.96 Se.upf
N 14.01 N.upf
CELL_PARAMETERS angstrom
-3.2912 -0.1413 -0.5737
0.5455 -1.9742 -2.6431
-0.3897 -4.6275 3.3758
ATOMIC_POSITIONS angstrom
H -1.5677 -3.3715 0.0795
Si 0.0000 0.0000 0.0000
Se -0.1949 -2.3137 1.6879
N 0.2727 -0.9871 -1.3216
N -1.6456 -0.0707 -0.2868
! Total magnetic moment = 0.2 Bohr magnetons per cell
! DFT total energy = -47.98 eV/cell


(7)
! meta-GGA SCAN CaSi2Br, PBEsol geometry; values from VASP
&SYSTEM
  ibrav = 0, nat = 4, ntyp = 3
/
ATOMIC_SPECIES
Br 79.90 Br.upf
Ca 40.08 Ca.upf
Si 28.09 Si.upf
CELL_PARAMETERS angstrom
3.8969 0.0000 0.0000
1.9485 3.3748 0.0000
1.9485 1.1249 7.4845
ATOMIC_POSITIONS angstrom
Br 3.8969 2.2499 4.0411
Ca 5.8454 3.3748 5.7595
Si 5.8454 3.3748 0.3531
Si 1.9485 1.1249 1.0342
! Total magnetic moment = 0.0 Bohr magnetons per cell
! E above lowest polymorph = 0.0000 eV per atom
! DFT total energy = -52.12 eV/cell
! Formation energy from raw total energies = -740 meV per atom


(8)
! meta-GGA SCAN CaScNO2, PBEsol geometry; values from VASP
&SYSTEM
  ibrav = 0, nat = 5, ntyp = 4
/
ATOMIC_SPECIES
Sc 44.96 Sc.upf
Ca 40.08 Ca.upf
O 16.00 O.upf
N 14.01 N.upf
CELL_PARAMETERS angstrom
4.0520 0.0000 0.0000
0.0000 4.0520 0.0000
0.0000 0.0000 4.1376
ATOMIC_POSITIONS angstrom
Sc 0.0000 0.0000 0.0000
Ca 2.0260 2.0260 2.0688
O 0.0000 2.0260 0.0000
O 2.0260 0.0000 0.0000
N 0.0000 0.0000 2.0688
! Total magnetic moment = 2.0 Bohr magnetons per cell
! DFT total energy = -55.44 eV/cell
! Formation energy from raw total energies = -1957 meV per atom


(9)
! meta-GGA SCAN Ca2Nb2O7, PBEsol geometry; values from VASP
&SYSTEM
  ibrav = 0, nat = 22, ntyp = 3
/
ATOMIC_SPECIES
Ca 40.08 Ca.upf
Nb 92.91 Nb.upf
O 16.00 O.upf
CELL_PARAMETERS angstrom
7.4048 0.0000 0.0000
3.7024 6.4127 0.0000
3.7024 2.1376 6.0460
ATOMIC_POSITIONS angstrom
Ca 7.4048 4.2751 0.7557
Ca 7.4048 2.1376 3.7787
Ca 9.2560 5.3439 3.7787
Ca 5.5536 5.3439 3.7787
Nb 3.7024 2.1376 3.7787
Nb 3.7024 4.2751 0.7557
Nb 1.8512 1.0688 0.7557
Nb 5.5536 1.0688 0.7557
O 7.4048 4.2751 3.0230
O 11.1072 6.4127 4.5345
O 5.1370 2.9658 4.8746
O 5.1370 2.9658 0.3402
O 9.6726 2.9658 4.8746
O 7.4048 6.8938 4.8746
O 7.4048 1.6565 1.1713
O 5.1370 5.5845 1.1713
O 9.6726 5.5845 1.1713
O 3.7024 0.4811 0.3402
O 3.7024 3.7941 2.6828
O 2.2678 1.3093 2.6828
O 2.2678 2.9658 0.3402
O 5.1370 1.3093 2.6828
! Total magnetic moment = 0.0 Bohr magnetons per cell
! DFT total energy = -325.68 eV/cell
! Formation energy from raw total energies = -3058 meV per atom


(10)
! meta-GGA SCAN Sm2Fe3Si5, PBEsol geometry; values from VASP
&SYSTEM
  ibrav = 0, nat = 40, ntyp = 3
/
ATOMIC_SPECIES
Sm 150.36 Sm.upf
Fe 55.84 Fe.upf
Si 28.09 Si.upf
CELL_PARAMETERS angstrom
-1.9163 -5.0773 -0.9632
2.1654 1.0869 -10.0376
9.4364 -3.8682 1.6169
ATOMIC_POSITIONS angstrom
Sm 7.2120 -4.7642 -5.0046
Sm 2.4736 -3.0944 -4.3793
Sm 7.3662 -2.8833 0.5436
Sm 4.2356 0.1019 -8.9643
Sm 4.9849 -4.4520 -2.2192
Sm 4.7007 -3.4066 -7.1647
Sm 1.1609 -0.0114 -2.2495
Sm 10.4410 -2.7700 -6.1712
Fe 9.0008 -4.8888 -7.9068
Fe 0.6848 -2.9699 -1.4770
Fe 6.9125 -2.0886 -2.7429
Fe 4.6893 -0.6928 -5.6777
Fe 7.6367 -5.7737 -0.5281
Fe 2.0489 -2.0850 -8.8558
Fe 4.3272 -1.0748 -2.9437
Fe 7.2746 -1.7066 -5.4770
Fe 0.6037 -0.7259 -5.2596
Fe 3.2810 -5.7421 0.0861
Fe 4.2391 -3.2034 0.5677
Fe -0.3545 -3.2645 -5.7412
Si 2.6598 -1.2188 -6.7519
Si 7.9839 -4.1012 -2.1503
Si 1.9924 -4.8639 -1.9794
Si 6.7350 -5.5334 -7.8860
Si 7.6932 -2.9947 -7.4044
Si 2.9505 -2.3253 -1.4978
Si 1.7017 -3.7575 -7.2335
Si 7.0258 -6.6398 -2.6319
Si 5.3749 -2.5194 -4.4245
Si -1.3841 -3.6674 -0.6957
Si 4.3106 -5.3392 -4.9594
Si -0.5321 -1.4099 -0.2675
Si 9.7550 -5.5889 -5.7169
Si -0.0695 -2.2698 -3.6669
Si 5.3009 -1.8189 -0.9584
Si 6.3010 -0.9625 -7.4623
Si 5.4970 -5.1441 0.4102
Si 4.1886 -2.7145 -9.7940
Si 2.7305 -0.1727 -4.5221
Si 8.8714 -2.6087 -3.8986
! Total magnetic moment = 0.0 Bohr magnetons per cell
! DFT total energy = -796.19 eV/cell
! Formation energy from raw total energies = -569 meV per atom


(11)
! meta-GGA SCAN Zr2Ti2In, PBEsol geometry; values from VASP
&SYSTEM
  ibrav = 0, nat = 10, ntyp = 3
/
ATOMIC_SPECIES
Ti 47.87 Ti.upf
Zr 91.22 Zr.upf
In 114.82 In.upf
CELL_PARAMETERS angstrom
3.7738 0.0000 0.0000
0.0000 7.2190 0.0000
0.0000 0.0000 7.2190
ATOMIC_POSITIONS angstrom
Ti 0.0000 2.6767 6.2862
Ti 0.0000 6.2862 4.5423
Ti 0.0000 4.5423 0.9328
Ti 0.0000 0.9328 2.6767
Zr 1.8869 1.2200 4.8295
Zr 1.8869 4.8295 5.9990
Zr 1.8869 5.9990 2.3895
Zr 1.8869 2.3895 1.2200
In 0.0000 0.0000 0.0000
In 0.0000 3.6095 3.6095
! Formation energy from the elements = -0.128 eV/atom
! Total magnetic moment = 0.0 Bohr magnetons per cell
! DFT total energy = -254.96 eV/cell


(12)
! meta-GGA SCAN Y2Ru, PBEsol geometry; values from VASP
&SYSTEM
  ibrav = 0, nat = 12, ntyp = 2
/
ATOMIC_SPECIES
Ru 101.07 Ru.upf
Y 88.91 Y.upf
CELL_PARAMETERS angstrom
6.6990 0.0000 0.0000
0.0000 6.6990 0.0000
0.0000 0.0000 6.6990
ATOMIC_POSITIONS angstrom
Ru 0.0000 0.0000 0.0000
Ru 0.0000 3.3495 3.3495
Ru 3.3495 0.0000 3.3495
Ru 3.3495 3.3495 0.0000
Y 1.0959 4.4454 5.6031
Y 1.0959 5.6031 2.2536
Y 2.2536 1.0959 5.6031
Y 2.2536 2.2536 2.2536
Y 4.4454 4.4454 4.4454
Y 4.4454 5.6031 1.0959
Y 5.6031 1.0959 4.4454
Y 5.6031 2.2536 1.0959
! Formation energy from the elements = -0.333 eV/atom
! Total magnetic moment = 0.0 Bohr magnetons per cell
! DFT total energy = -366.05 eV/cell